[1]
Density functional theory data (PBE) for crystalline LaPm5Pb5 at its relaxed geometry.

Results
crystal system: monoclinic
total moment: 0.059 μB per atom
formation energy: -0.3300 eV per atom

```
data_LaPm5Pb5
_cell_length_a 14.549
_cell_length_b 6.432
_cell_length_c 8.886
_cell_angle_alpha 90.00
_cell_angle_beta 107.47
_cell_angle_gamma 90.00
_symmetry_space_group_name_H-M 'C 1 2/m 1'
_symmetry_Int_Tables_number 12
loop_
_symmetry_equiv_pos_as_xyz
'x,y,z'
'-x,-y,-z'
'-x,y,-z'
'x,-y,z'
'x+1/2,y+1/2,z'
'-x+1/2,-y+1/2,-z'
'-x+1/2,y+1/2,-z'
'x+1/2,-y+1/2,z'
loop_
_atom_site_label
_atom_site_fract_x
_atom_site_fract_y
_atom_site_fract_z
_atom_site_occupancy
La1 0.000 0.000 0.000 1
Pm1 0.000 0.000 0.500 1
Pm2 0.163 0.500 0.336 1
Pm3 0.169 0.500 0.835 1
Pb1 0.000 0.500 0.000 1
Pb2 0.167 0.000 0.340 1
Pb3 0.167 0.000 0.825 1
```

---

[2]
Density functional theory data (PBE) for crystalline LaPm2Pb3 at its relaxed geometry.

Results
energy above the most stable polymorph in this dataset: 3.9 meV/atom
crystal system: tetragonal
total moment: 0.000 μB per atom
formation energy: -0.5309 eV per atom

```
data_LaPm2Pb3
_cell_length_a 3.627
_cell_length_b 3.627
_cell_length_c 13.819
_cell_angle_alpha 90.00
_cell_angle_beta 90.00
_cell_angle_gamma 90.00
_symmetry_space_group_name_H-M 'P 4/m m m'
_symmetry_Int_Tables_number 123
_symmetry_space_group_name_Hall '-P 4 2'
loop_
_atom_site_label
_atom_site_fract_x
_atom_site_fract_y
_atom_site_fract_z
_atom_site_occupancy
La1 0.000 0.000 0.000 1
Pm1 0.000 0.000 0.335 1
Pb1 0.500 0.500 0.171 1
Pb2 0.500 0.500 0.500 1
```

---

[3]
Density functional theory data (PBE) for crystalline LaPm7Pb2 at its relaxed geometry.

Results
crystal system: orthorhombic
total moment: 0.043 μB per atom
formation energy: 0.2417 eV per atom

```
data_LaPm7Pb2
_cell_length_a 9.313
_cell_length_b 15.803
_cell_length_c 5.725
_cell_angle_alpha 90.00
_cell_angle_beta 90.00
_cell_angle_gamma 90.00
_symmetry_space_group_name_H-M 'C m m m'
_symmetry_Int_Tables_number 65
_symmetry_space_group_name_Hall '-C 2 2'
loop_
_atom_site_label
_atom_site_fract_x
_atom_site_fract_y
_atom_site_fract_z
_atom_site_occupancy
La1 0.000 0.000 0.000 1
Pm1 0.000 0.231 0.000 1
Pm2 0.000 0.500 0.500 1
Pm3 0.180 0.122 0.500 1
Pb1 0.000 0.303 0.500 1
```

---

[4]
Density functional theory data (PBE) for crystalline LaPmPtPb at its relaxed geometry.

Results
crystal system: cubic
total moment: 0.000 μB per atom
formation energy: -0.6972 eV per atom

```
data_LaPmPtPb
_cell_length_a 7.610
_cell_length_b 7.610
_cell_length_c 7.610
_cell_angle_alpha 90.00
_cell_angle_beta 90.00
_cell_angle_gamma 90.00
_symmetry_space_group_name_H-M 'F -4 3 m'
_symmetry_Int_Tables_number 216
_symmetry_space_group_name_Hall 'F -4 2 3'
loop_
_atom_site_label
_atom_site_fract_x
_atom_site_fract_y
_atom_site_fract_z
_atom_site_occupancy
La1 0.000 0.000 0.000 1
Pm1 0.000 0.000 0.500 1
Pt1 0.250 0.250 0.750 1
Pb1 0.250 0.250 0.250 1
```

---

[5]
Density functional theory data (PBE) for crystalline LaPmRhPb at its relaxed geometry.

Results
crystal system: cubic
total moment: 0.000 μB per atom
formation energy: -0.4503 eV per atom

```
data_LaPmRhPb
_cell_length_a 7.567
_cell_length_b 7.567
_cell_length_c 7.567
_cell_angle_alpha 90.00
_cell_angle_beta 90.00
_cell_angle_gamma 90.00
_symmetry_space_group_name_H-M 'F -4 3 m'
_symmetry_Int_Tables_number 216
_symmetry_space_group_name_Hall 'F -4 2 3'
loop_
_atom_site_label
_atom_site_fract_x
_atom_site_fract_y
_atom_site_fract_z
_atom_site_occupancy
La1 0.000 0.000 0.000 1
Pm1 0.000 0.000 0.500 1
Rh1 0.250 0.250 0.750 1
Pb1 0.250 0.250 0.250 1
```

---

[6]
Density functional theory data (PBE) for crystalline LaPmRuPb at its relaxed geometry.

Results
crystal system: cubic
total moment: 0.000 μB per atom
formation energy: -0.1752 eV per atom

```
data_LaPmRuPb
_cell_length_a 7.520
_cell_length_b 7.520
_cell_length_c 7.520
_cell_angle_alpha 90.00
_cell_angle_beta 90.00
_cell_angle_gamma 90.00
_symmetry_space_group_name_H-M 'F -4 3 m'
_symmetry_Int_Tables_number 216
_symmetry_space_group_name_Hall 'F -4 2 3'
loop_
_atom_site_label
_atom_site_fract_x
_atom_site_fract_y
_atom_site_fract_z
_atom_site_occupancy
La1 0.000 0.000 0.000 1
Pm1 0.000 0.000 0.500 1
Ru1 0.250 0.250 0.250 1
Pb1 0.250 0.250 0.750 1
```

---

[7]
Density functional theory data (PBE) for crystalline LaPmSbPb at its relaxed geometry.

Results
crystal system: cubic
total moment: 0.000 μB per atom
final energy: -5.037 eV/atom

```
data_LaPmSbPb
_cell_length_a 7.900
_cell_length_b 7.900
_cell_length_c 7.900
_cell_angle_alpha 90.00
_cell_angle_beta 90.00
_cell_angle_gamma 90.00
_symmetry_space_group_name_H-M 'F -4 3 m'
_symmetry_Int_Tables_number 216
_symmetry_space_group_name_Hall 'F -4 2 3'
loop_
_atom_site_label
_atom_site_fract_x
_atom_site_fract_y
_atom_site_fract_z
_atom_site_occupancy
La1 0.000 0.000 0.000 1
Pm1 0.000 0.000 0.500 1
Sb1 0.250 0.250 0.250 1
Pb1 0.250 0.250 0.750 1
```

---

[8]
Density functional theory data (PBE) for crystalline La3PmPb2Se at its relaxed geometry.

Results
crystal system: orthorhombic
total moment: 0.000 μB per atom
final energy: -5.069 eV/atom

```
data_La3PmPb2Se
_cell_length_a 5.429
_cell_length_b 5.514
_cell_length_c 17.019
_cell_angle_alpha 90.00
_cell_angle_beta 90.00
_cell_angle_gamma 90.00
_symmetry_space_group_name_H-M 'I m m m'
_symmetry_Int_Tables_number 71
_symmetry_space_group_name_Hall '-I 2 2'
loop_
_atom_site_label
_atom_site_fract_x
_atom_site_fract_y
_atom_site_fract_z
_atom_site_occupancy
La1 0.000 0.000 0.000 1
La2 0.000 0.500 0.174 1
Pm1 0.000 0.000 0.500 1
Pb1 0.000 0.500 0.368 1
Se1 0.000 0.500 0.000 1
```

---

[9]
Density functional theory data (PBE) for crystalline LaPmPbSe at its relaxed geometry.

Results
crystal system: tetragonal
total moment: 0.000 μB per atom
final energy: -5.473 eV/atom

```
data_LaPmPbSe
_cell_length_a 4.435
_cell_length_b 4.435
_cell_length_c 6.353
_cell_angle_alpha 90.00
_cell_angle_beta 90.00
_cell_angle_gamma 90.00
_symmetry_space_group_name_H-M 'P 4/m m m'
_symmetry_Int_Tables_number 123
_symmetry_space_group_name_Hall '-P 4 2'
loop_
_atom_site_label
_atom_site_fract_x
_atom_site_fract_y
_atom_site_fract_z
_atom_site_occupancy
La1 0.000 0.000 0.000 1
Pm1 0.500 0.500 0.500 1
Pb1 0.000 0.000 0.500 1
Se1 0.500 0.500 0.000 1
```

---

[10]
Density functional theory data (PBE) for crystalline La3Pm2Sm6Pb at its relaxed geometry.

Results
crystal system: monoclinic
total moment: 0.000 μB per atom
formation energy: -0.0617 eV per atom

```
data_La3Pm2Sm6Pb
_cell_length_a 6.262
_cell_length_b 10.869
_cell_length_c 12.004
_cell_angle_alpha 90.00
_cell_angle_beta 100.17
_cell_angle_gamma 90.00
_symmetry_space_group_name_H-M 'C 1 2/m 1'
_symmetry_Int_Tables_number 12
loop_
_symmetry_equiv_pos_as_xyz
'x,y,z'
'-x,-y,-z'
'-x,y,-z'
'x,-y,z'
'x+1/2,y+1/2,z'
'-x+1/2,-y+1/2,-z'
'-x+1/2,y+1/2,-z'
'x+1/2,-y+1/2,z'
loop_
_atom_site_label
_atom_site_fract_x
_atom_site_fract_y
_atom_site_fract_z
_atom_site_occupancy
La1 0.000 0.000 0.000 1
La2 0.000 0.330 0.000 1
Pm1 0.000 0.166 0.500 1
Sm1 0.243 0.500 0.253 1
Sm2 0.244 0.338 0.744 1
Pb1 0.000 0.500 0.500 1
```

---

[11]
Density functional theory data (PBE) for crystalline LaPmSnPb at its relaxed geometry.

Results
energy above the most stable polymorph in this dataset: 0.0 meV/atom
crystal system: orthorhombic
total moment: 0.000 μB per atom
formation energy: -0.6783 eV per atom

```
data_LaPmSnPb
_cell_length_a 4.483
_cell_length_b 4.737
_cell_length_c 11.949
_cell_angle_alpha 90.00
_cell_angle_beta 90.00
_cell_angle_gamma 90.00
_symmetry_space_group_name_H-M 'A m m 2'
_symmetry_Int_Tables_number 38
loop_
_symmetry_equiv_pos_as_xyz
'x,y,z'
'-x,-y,z'
'-x,y,z'
'x,-y,z'
'x,y+1/2,z+1/2'
'-x,-y+1/2,z+1/2'
'-x,y+1/2,z+1/2'
'x,-y+1/2,z+1/2'
loop_
_atom_site_label
_atom_site_fract_x
_atom_site_fract_y
_atom_site_fract_z
_atom_site_occupancy
La1 0.000 0.000 0.000 1
Pm1 0.500 0.000 0.268 1
Sn1 0.500 0.000 0.543 1
Pb1 0.000 0.000 0.727 1
```

---

[12]
Density functional theory data (PBE) for crystalline LaPmSnPb at its relaxed geometry.

Results
energy above the most stable polymorph in this dataset: 137.8 meV/atom
crystal system: cubic
total moment: 0.002 μB per atom
formation energy: -0.5405 eV per atom

```
data_LaPmSnPb
_cell_length_a 7.888
_cell_length_b 7.888
_cell_length_c 7.888
_cell_angle_alpha 90.00
_cell_angle_beta 90.00
_cell_angle_gamma 90.00
_symmetry_space_group_name_H-M 'F -4 3 m'
_symmetry_Int_Tables_number 216
_symmetry_space_group_name_Hall 'F -4 2 3'
loop_
_atom_site_label
_atom_site_fract_x
_atom_site_fract_y
_atom_site_fract_z
_atom_site_occupancy
La1 0.000 0.000 0.000 1
Pm1 0.000 0.000 0.500 1
Sn1 0.250 0.250 0.750 1
Pb1 0.250 0.250 0.250 1
```

---

[13]
Density functional theory data (PBE) for crystalline LaTbPmPb at its relaxed geometry.

Results
crystal system: cubic
total moment: 0.000 μB per atom
formation energy: -0.1632 eV per atom

```
data_LaTbPmPb
_cell_length_a 7.966
_cell_length_b 7.966
_cell_length_c 7.966
_cell_angle_alpha 90.00
_cell_angle_beta 90.00
_cell_angle_gamma 90.00
_symmetry_space_group_name_H-M 'F -4 3 m'
_symmetry_Int_Tables_number 216
_symmetry_space_group_name_Hall 'F -4 2 3'
loop_
_atom_site_label
_atom_site_fract_x
_atom_site_fract_y
_atom_site_fract_z
_atom_site_occupancy
La1 0.000 0.000 0.000 1
Tb1 0.250 0.250 0.750 1
Pm1 0.000 0.000 0.500 1
Pb1 0.250 0.250 0.250 1
```